The following is a PBE calculation of a relaxed structure of SrCaNi2, from Alexandria.

Calculated values
The calculation puts the energy above the most stable polymorph in this dataset at 0.0000 eV/atom. The magnetization comes out at 0.0 μB per formula unit. The value obtained for the formation energy is -0.078 eV/atom. As for the calculated total energy: -3.890 eV per atom.

a b c (Å): 4.147 4.333 10.775
angles (deg): 90.00 90.00 90.00
Space group Amm2 (No. 38)
Symmetry-distinct sites (fractional):
Sr 0.000 0.000 0.000 [2 per cell]
Ca 0.500 0.000 0.282 [2 per cell]
Ni 0.000 0.000 0.699 [2 per cell]
Ni 0.500 0.000 0.607 [2 per cell]

***

The following is a PBE calculation of a relaxed structure of SrCa3Ni, from Alexandria.

Calculated values
The calculation puts the energy above the most stable polymorph in this dataset at 0.2350 eV/atom. The magnetization comes out at 0.0 μB per formula unit. The value obtained for the formation energy is 0.178 eV/atom. As for the calculated total energy: -2.516 eV per atom.

a b c (Å): 5.7959 5.7959 11.3361
angles (deg): 90.00 90.00 120.00
Space group P6_3/mmc (No. 194)
Symmetry-distinct sites (fractional):
Sr 0.3333 0.6667 0.2500 [2 per cell]
Ca 0.0000 0.0000 0.2500 [2 per cell]
Ca 0.3333 0.6667 0.5717 [4 per cell]
Ni 0.0000 0.0000 0.0000 [2 per cell]

***

The following is a PBE calculation of a relaxed structure of SrCa2Ni, from Alexandria.

Calculated values
The calculation puts the energy above the most stable polymorph in this dataset at 0.1098 eV/atom. The magnetization comes out at 0.0 μB per formula unit. The value obtained for the formation energy is 0.042 eV/atom. As for the calculated total energy: -2.824 eV per atom.

a b c (Å): 3.713 5.924 11.976
angles (deg): 90.00 90.00 90.00
Space group Immm (No. 71)
Symmetry-distinct sites (fractional):
Sr 0.000 0.000 0.000 [2 per cell]
Ca 0.000 0.500 0.178 [4 per cell]
Ni 0.000 0.000 0.500 [2 per cell]

***

The following is a PBE calculation of a relaxed structure of SrCa3Ni, from Alexandria.

Calculated values
The calculation puts the energy above the most stable polymorph in this dataset at 0.0075 eV/atom. The magnetization comes out at 0.0 μB per formula unit. The value obtained for the formation energy is -0.050 eV/atom. As for the calculated total energy: -2.744 eV per atom.

a b c (Å): 6.640 6.969 10.392
angles (deg): 90.00 129.71 90.00
Space group Pc (No. 7)
Symmetry-distinct sites (fractional):
Sr 0.000 0.163 0.000 [2 per cell]
Ca 0.258 0.344 0.752 [2 per cell]
Ca 0.510 0.178 0.500 [2 per cell]
Ca 0.756 0.344 0.249 [2 per cell]
Ni 0.755 0.492 0.501 [2 per cell]

***

The following is a PBE calculation of a relaxed structure of SrCa2TcNi, from Alexandria.

Calculated values
The magnetization comes out at 0.0 μB per formula unit. The value obtained for the formation energy is 0.917 eV/atom. As for the calculated total energy: -3.449 eV per atom.

a b c (Å): 5.330 5.330 5.503
angles (deg): 90.00 90.00 90.00
Space group P4/mmm (No. 123)
Symmetry-distinct sites (fractional):
Sr 0.000 0.000 0.000 [1 per cell]
Ca 0.000 0.500 0.500 [2 per cell]
Tc 0.000 0.000 0.500 [1 per cell]
Ni 0.500 0.500 0.000 [1 per cell]

***

The following is a PBE calculation of a relaxed structure of Sr2CaTlNi, from Alexandria.

Calculated values
The calculation puts the energy above the most stable polymorph in this dataset at 0.0000 eV/atom. The magnetization comes out at 0.0 μB per formula unit. The value obtained for the formation energy is -0.085 eV/atom. As for the calculated total energy: -2.788 eV per atom.

a b c (Å): 5.725 5.725 5.445
angles (deg): 90.00 90.00 90.00
Space group P4/mmm (No. 123)
Symmetry-distinct sites (fractional):
Sr 0.000 0.500 0.000 [2 per cell]
Ca 0.000 0.000 0.500 [1 per cell]
Tl 0.500 0.500 0.500 [1 per cell]
Ni 0.000 0.000 0.000 [1 per cell]

***

The following is a PBE calculation of a relaxed structure of Sr2CaTlNi, from Alexandria.

Calculated values
The calculation puts the energy above the most stable polymorph in this dataset at 0.0436 eV/atom. The magnetization comes out at 0.0 μB per formula unit. The value obtained for the formation energy is -0.042 eV/atom. As for the calculated total energy: -2.744 eV per atom.

a b c (Å): 5.801 5.801 5.148
angles (deg): 90.00 90.00 90.00
Space group P4/mmm (No. 123)
Symmetry-distinct sites (fractional):
Sr 0.000 0.500 0.000 [2 per cell]
Ca 0.000 0.000 0.500 [1 per cell]
Tl 0.500 0.500 0.500 [1 per cell]
Ni 0.500 0.500 0.000 [1 per cell]

***

The following is a PBE calculation of a relaxed structure of Sr2CaYNi, from Alexandria.

Calculated values
The magnetization comes out at 0.0 μB per formula unit. The value obtained for the formation energy is 0.015 eV/atom. As for the calculated total energy: -3.507 eV per atom.

a b c (Å): 5.929 5.929 5.367
angles (deg): 90.00 90.00 90.00
Space group P4/mmm (No. 123)
Symmetry-distinct sites (fractional):
Sr 0.000 0.500 0.000 [2 per cell]
Ca 0.000 0.000 0.500 [1 per cell]
Y 0.500 0.500 0.500 [1 per cell]
Ni 0.500 0.500 0.000 [1 per cell]

***

The following is a PBE calculation of a relaxed structure of SrCa2YNi, from Alexandria.

Calculated values
The magnetization comes out at 0.0 μB per formula unit. The value obtained for the formation energy is -0.058 eV/atom. As for the calculated total energy: -3.644 eV per atom.

a b c (Å): 5.689 5.689 5.348
angles (deg): 90.00 90.00 90.00
Space group P4/mmm (No. 123)
Symmetry-distinct sites (fractional):
Sr 0.000 0.000 0.000 [1 per cell]
Ca 0.000 0.500 0.500 [2 per cell]
Y 0.500 0.500 0.000 [1 per cell]
Ni 0.500 0.500 0.500 [1 per cell]

***

The following is a PBE calculation of a relaxed structure of SrCa2ZnNi, from Alexandria.

Calculated values
The magnetization comes out at 0.0 μB per formula unit. The value obtained for the formation energy is -0.017 eV/atom. As for the calculated total energy: -2.566 eV per atom.

a b c (Å): 5.473 5.473 4.917
angles (deg): 90.00 90.00 90.00
Space group P4/mmm (No. 123)
Symmetry-distinct sites (fractional):
Sr 0.000 0.000 0.000 [1 per cell]
Ca 0.000 0.500 0.500 [2 per cell]
Zn 0.500 0.500 0.000 [1 per cell]
Ni 0.500 0.500 0.500 [1 per cell]

***

The following is a PBE calculation of a relaxed structure of Sr2CaZnNi, from Alexandria.

Calculated values
The magnetization comes out at 0.0 μB per formula unit. The value obtained for the formation energy is 0.047 eV/atom. As for the calculated total energy: -2.437 eV per atom.

a b c (Å): 5.786 5.786 4.885
angles (deg): 90.00 90.00 90.00
Space group P4/mmm (No. 123)
Symmetry-distinct sites (fractional):
Sr 0.000 0.500 0.000 [2 per cell]
Ca 0.000 0.000 0.500 [1 per cell]
Zn 0.500 0.500 0.500 [1 per cell]
Ni 0.500 0.500 0.000 [1 per cell]

***

The following is a PBE calculation of a relaxed structure of Ca2TaNi2, from Alexandria.

Calculated values
The magnetization comes out at 0.0 μB per formula unit. The value obtained for the formation energy is 0.135 eV/atom. As for the calculated total energy: -5.349 eV per atom.

a b c (Å): 6.496 6.496 4.783
angles (deg): 90.00 90.00 90.00
Space group P4/mbm (No. 127)
Symmetry-distinct sites (fractional):
Ca 0.179 0.321 0.000 [4 per cell]
Ta 0.000 0.000 0.500 [2 per cell]
Ni 0.129 0.629 0.500 [4 per cell]

***

The following is a PBE calculation of a relaxed structure of Ca2TaNi, from Alexandria.

Calculated values
The calculation puts the energy above the most stable polymorph in this dataset at 0.3097 eV/atom. The magnetization comes out at 0.0 μB per formula unit. The value obtained for the formation energy is 0.496 eV/atom. As for the calculated total energy: -4.913 eV per atom.

a b c (Å): 3.071 3.094 9.121
angles (deg): 90.00 90.00 90.00
Space group Pmmm (No. 47)
Symmetry-distinct sites (fractional):
Ca 0.000 0.000 0.212 [2 per cell]
Ta 0.500 0.500 0.500 [1 per cell]
Ni 0.500 0.500 0.000 [1 per cell]

***

The following is a PBE calculation of a relaxed structure of CaTaNi2, from Alexandria.

Calculated values
The calculation puts the energy above the most stable polymorph in this dataset at 0.6427 eV/atom. The magnetization comes out at 0.0 μB per formula unit. The value obtained for the formation energy is 0.502 eV/atom. As for the calculated total energy: -5.852 eV per atom.

a b c (Å): 6.273 6.273 6.273
angles (deg): 90.00 90.00 90.00
Space group F-43m (No. 216)
Symmetry-distinct sites (fractional):
Ca 0.000 0.000 0.000 [4 per cell]
Ta 0.250 0.250 0.750 [4 per cell]
Ni 0.000 0.000 0.500 [4 per cell]
Ni 0.250 0.250 0.250 [4 per cell]